A plane-wave DFT calculation with PBE+U was carried out for a relaxed Tb3CrO crystal.

Magnetization ... 3.976 μB/cell
SG ... Pm-3m, No. 221
DFT total energy ... -6.28 eV/atom

POSCAR file:
```
Tb3CrO
1.0
-1.858 -0.637 -4.398
1.349 -4.623 0.099
-4.234 -1.194 1.961
Cr Tb O
1 3 1
Direct
0.500 0.500 0.500 Cr
0.000 0.500 0.000 Tb
0.000 0.000 0.500 Tb
0.500 0.000 0.000 Tb
0.000 0.000 0.000 O
```